VASP calculation (PBE) on a relaxed structure of ZrPa2Nb.

a = 3.5048 Å, b = 3.5048 Å, c = 7.6533 Å
α = 90.00°, β = 90.00°, γ = 90.00°
Space group P4/mmm (No. 123)
One atom of each set of equivalent atoms:
Zr 0.0000 0.0000 0.0000 (multiplicity 1)
Pa 0.5000 0.5000 0.2705 (multiplicity 2)
Nb 0.0000 0.0000 0.5000 (multiplicity 1)

DOS at the Fermi energy, states/eV per cell: 9.10
Energy relative to the elements, eV per atom: 0.263
Uncorrected energy, eV per cell: -36.557
ΔE to the lowest computed polymorph, kJ per mole of atoms: 7.35

***

VASP calculation (PBE) on a relaxed structure of Er3Zn3Ag.

a = 3.5654 Å, b = 4.4781 Å, c = 19.2855 Å
α = 90.00°, β = 90.00°, γ = 90.00°
Space group Imm2 (No. 44)
One atom of each set of equivalent atoms:
Er 0.0000 0.0000 0.0000 (multiplicity 2)
Er 0.0000 0.0000 0.3906 (multiplicity 2)
Er 0.0000 0.5000 0.1924 (multiplicity 2)
Zn 0.0000 0.0000 0.5533 (multiplicity 2)
Zn 0.0000 0.0000 0.8386 (multiplicity 2)
Zn 0.0000 0.5000 0.6247 (multiplicity 2)
Ag 0.0000 0.5000 0.7601 (multiplicity 2)

DOS at the Fermi energy, states/eV per cell: 13.39
Energy relative to the elements, eV per atom: -0.297
Uncorrected energy, eV per cell: -44.879